A plane-wave DFT calculation with PBE was carried out for crystalline DyYTe at its relaxed geometry.

a = 5.0600 Å, b = 5.0600 Å, c = 5.0600 Å
α = 60.00°, β = 60.00°, γ = 60.00°
With the nearest neighbours (Å) after each atom.
Atoms (fractional coordinates):
Te1 0.0000 0.0000 0.0000  4 Y 3.10, 4 Dy 3.10
Dy1 0.2500 0.2500 0.2500  4 Te 3.10
Y1 0.7500 0.7500 0.7500  4 Te 3.10

For the magnetization, the calculation gives 0.299 μB/atom. The value obtained for the density is 6.870 g/cm³. The energy above the most stable polymorph in this dataset is 0.000 eV per atom.